## K3Co5F12 (PBE+U)

Data for an optimized crystal structure of K3Co5F12.

The value obtained for the calculated density is 3.41 g/cm³. The calculation puts the total energy at -4.728 eV/atom.

a = 11.743 Å, b = 11.743 Å, c = 11.743 Å
α = 109.47°, β = 109.47°, γ = 109.47°
Sites, in units of the cell vectors:
1 K 0.125 0.250 0.375
2 K 0.125 0.375 0.750
3 K 0.250 0.375 0.125
4 K 0.250 0.875 0.625
5 K 0.375 0.125 0.250
6 K 0.375 0.750 0.125
7 K 0.625 0.250 0.875
8 K 0.625 0.875 0.750
9 K 0.750 0.125 0.375
10 K 0.750 0.625 0.875
11 K 0.875 0.625 0.250
12 K 0.875 0.750 0.625
13 Co 0.000 0.000 0.000
14 Co 0.000 0.000 0.500
15 Co 0.000 0.500 0.000
16 Co 0.000 0.500 0.500
17 Co 0.125 0.750 0.875
18 Co 0.125 0.875 0.250
19 Co 0.250 0.125 0.875
20 Co 0.250 0.625 0.375
21 Co 0.375 0.250 0.625
22 Co 0.375 0.625 0.750
23 Co 0.500 0.000 0.000
24 Co 0.500 0.000 0.500
25 Co 0.500 0.500 0.000
26 Co 0.500 0.500 0.500
27 Co 0.625 0.375 0.250
28 Co 0.625 0.750 0.375
29 Co 0.750 0.375 0.625
30 Co 0.750 0.875 0.125
31 Co 0.875 0.125 0.750
32 Co 0.875 0.250 0.125
33 F 0.012 0.195 0.111
34 F 0.012 0.316 0.900
35 F 0.084 0.695 0.684
36 F 0.084 0.889 0.400
37 F 0.100 0.611 0.416
38 F 0.100 0.988 0.684
39 F 0.111 0.012 0.195
40 F 0.111 0.600 0.916
41 F 0.184 0.195 0.584
42 F 0.184 0.488 0.600
43 F 0.195 0.111 0.012
44 F 0.195 0.584 0.184
45 F 0.305 0.316 0.916
46 F 0.305 0.488 0.389
47 F 0.316 0.900 0.012
48 F 0.316 0.916 0.305
49 F 0.389 0.305 0.488
50 F 0.389 0.584 0.900
51 F 0.400 0.084 0.889
52 F 0.400 0.816 0.512
53 F 0.416 0.100 0.611
54 F 0.416 0.816 0.805
55 F 0.488 0.389 0.305
56 F 0.488 0.600 0.184
57 F 0.512 0.400 0.816
58 F 0.512 0.611 0.695
59 F 0.584 0.184 0.195
60 F 0.584 0.900 0.389
61 F 0.600 0.184 0.488
62 F 0.600 0.916 0.111
63 F 0.611 0.416 0.100
64 F 0.611 0.695 0.512
65 F 0.684 0.084 0.695
66 F 0.684 0.100 0.988
67 F 0.695 0.512 0.611
68 F 0.695 0.684 0.084
69 F 0.805 0.416 0.816
70 F 0.805 0.889 0.988
71 F 0.816 0.512 0.400
72 F 0.816 0.805 0.416
73 F 0.889 0.400 0.084
74 F 0.889 0.988 0.805
75 F 0.900 0.012 0.316
76 F 0.900 0.389 0.584
77 F 0.916 0.111 0.600
78 F 0.916 0.305 0.316
79 F 0.988 0.684 0.100
80 F 0.988 0.805 0.889